# PBE-GGA MnTlSnCl5, optimized geometry
data_MnTlSnCl5
_chemical_formula_sum 'Mn4 Tl4 Sn4 Cl20'
_symmetry_space_group_name_H-M 'C 1 2/c 1'
_symmetry_Int_Tables_number 15
_symmetry_space_group_name_Hall '-C 2yc'
_cell_length_a 9.2178
_cell_length_b 12.3505
_cell_length_c 10.1502
_cell_angle_alpha 90.00
_cell_angle_beta 113.82
_cell_angle_gamma 90.00
loop_
_atom_site_label
_atom_site_fract_x
_atom_site_fract_y
_atom_site_fract_z
Mn1 0.0000 0.1832 0.2500
Tl1 0.0000 0.1568 0.7500
Sn1 0.0000 0.5000 0.0000
Cl1 0.0000 0.4086 0.7500
Cl2 0.1200 0.2903 0.1288
Cl3 0.1753 0.0677 0.4301
# N(E_F)	0.000	states/eV per atom
# total magnetization	5.0	μB per formula unit
# E_tot	-4.1377	eV per atom
# E_form (uncorrected)	-1041	meV/atom
# theoretical density	3489	kg/m³

***

# PBE-GGA MnTlSn2Cl8, optimized geometry
data_MnTlSn2Cl8
_chemical_formula_sum 'Mn1 Tl1 Sn2 Cl8'
_symmetry_space_group_name_H-M 'P -1'
_symmetry_Int_Tables_number 2
_symmetry_space_group_name_Hall '-P 1'
_cell_length_a 6.4740
_cell_length_b 7.1680
_cell_length_c 8.5175
_cell_angle_alpha 79.19
_cell_angle_beta 73.32
_cell_angle_gamma 85.83
loop_
_atom_site_label
_atom_site_fract_x
_atom_site_fract_y
_atom_site_fract_z
Mn1 0.0000 0.0000 0.0000
Tl1 0.0000 0.0000 0.5000
Sn1 0.4437 0.3949 0.7568
Cl1 0.1442 0.2060 0.1111
Cl2 0.1940 0.7500 0.1056
Cl3 0.2402 0.5852 0.5254
Cl4 0.3399 0.0755 0.7148
# total magnetization	4.0	μB per formula unit
# E_tot	-3.8476	eV per atom
# E_form (uncorrected)	-988	meV/atom
# theoretical density	3485	kg/m³